No. 1
A relaxed ReAuC3 crystal, computed with PBE-GGA.

a = 3.9975 Å, b = 3.9975 Å, c = 3.9975 Å
α = 90.00°, β = 90.00°, γ = 90.00°
With the nearest neighbours (Å) after each atom.
Fractional positions:
Re 0.0000 0.0000 0.0000  12 C 2.83
Au 0.5000 0.5000 0.5000  6 C 2.00
C 0.0000 0.5000 0.5000  2 Au 2.00
C 0.5000 0.0000 0.5000  2 Au 2.00
C 0.5000 0.5000 0.0000  2 Au 2.00

## Properties
* electronic total energy: -5.164 eV per atom
* energy of formation: 3.516 eV per atom
* symmetry: Pm-3m, No. 221

=====

No. 2
A relaxed KNdBi2 crystal, computed with PBE-GGA.

a = 9.1841 Å, b = 9.1841 Å, c = 9.1841 Å
α = 28.97°, β = 28.97°, γ = 28.97°
With the nearest neighbours (Å) after each atom.
Fractional positions:
K 0.0000 0.0000 0.0000  6 Bi 3.67
Nd 0.5000 0.5000 0.5000  6 Bi 3.24
Bi 0.2370 0.2370 0.2370  3 Nd 3.24
Bi 0.7630 0.7630 0.7630  3 Nd 3.24

## Properties
* electronic total energy: -3.807 eV per atom
* energy of formation: -0.400 eV per atom
* symmetry: R-3m, No. 166

=====

No. 3
A relaxed LaV2Tc crystal, computed with PBE-GGA.

a = 9.0734 Å, b = 9.0734 Å, c = 9.0734 Å
α = 150.18°, β = 150.18°, γ = 42.68°
With the nearest neighbours (Å) after each atom.
Fractional positions:
La 0.3750 0.6250 0.7500  4 Tc 3.30, 8 V 3.36
La 0.6250 0.3750 0.2500  4 Tc 3.30, 8 V 3.36
V 0.0000 0.0000 0.0000  2 V 2.33, 2 Tc 2.41
V 0.0000 0.0000 0.5000  2 V 2.33, 2 Tc 2.41
V 0.0000 0.5000 0.0000  2 V 2.33, 2 Tc 2.41
V 0.5000 0.0000 0.5000  2 V 2.33, 2 Tc 2.41
Tc 0.1250 0.8750 0.2500  4 V 2.41
Tc 0.8750 0.1250 0.7500  4 V 2.41

## Properties
* electronic total energy: -7.622 eV per atom
* energy of formation: 0.760 eV per atom
* symmetry: I4_1/amd, No. 141